Below is a relaxed VIOF2 crystal, with properties calculated at the PBE with a Hubbard U level.

a = 4.432 Å, b = 4.432 Å, c = 3.694 Å
α = 90.00°, β = 90.00°, γ = 90.00°
Space group P4/mmm (No. 123)
Asymmetric unit:
V1 0.000 0.000 0.000
I1 0.500 0.500 0.500
O1 0.000 0.000 0.500
F1 0.000 0.500 0.000

* energy relative to the lowest polymorph listed for this composition: 0.0 meV/atom
* DOS at the Fermi energy: 2.21 states/eV/atom
* VASP energy: -4.5923 eV per atom